A relaxed structure of CoPRhO2, computed with GGA+U.

Unit cell a=3.478 b=3.478 c=5.481 alpha=90.00 beta=90.00 gamma=90.00
Sites, in units of the cell vectors:
1 Co 0.000 0.000 0.000
2 P 0.000 0.000 0.500
3 Rh 0.500 0.500 0.500
4 O 0.000 0.500 0.000
5 O 0.500 0.000 0.000

**Space group**: P4/mmm, No. 123
**DOS(E_F)**: 3.623 states/eV/cell
**Total magnetization**: 0.629 μB per atom
**Energy above the lowest structure with this stoichiometry**: 0 meV/atom